Entry 1:
Material: Pm2SeBr2
Method: DFT, PBE-GGA
State: optimized geometry

DOS(E_F): 0.483 states/eV/atom
volume: 162.1 Å³/cell
size of the total moment: 0.000 μB per atom
energy relative to the elements, uncorrected: -1.79 eV per atom

Cell lengths 10.8897, 10.8897, 10.8897 Å; angles 22.23, 22.23, 22.23 degrees
Closest atoms and distances in Å follow each position.
Positions (direct):
Pm (0.1171, 0.1171, 0.1171)  3 Se 2.89, 3 Br 3.04
Pm (0.8829, 0.8829, 0.8829)  3 Se 2.89, 3 Br 3.04
Se (0.5000, 0.5000, 0.5000)  6 Pm 2.89
Br (0.2736, 0.2736, 0.2736)  3 Pm 3.04
Br (0.7264, 0.7264, 0.7264)  3 Pm 3.04

***

Entry 2:
Material: Pm6SeBr8
Method: DFT, PBE-GGA
State: optimized geometry

DOS(E_F): 0.169 states/eV/atom
volume: 486.8 Å³/cell
size of the total moment: 0.000 μB per atom
energy relative to the elements, uncorrected: -1.53 eV per atom

Cell lengths 11.2601, 11.2601, 11.2601 Å; angles 38.05, 38.05, 38.05 degrees
Closest atoms and distances in Å follow each position.
Positions (direct):
Pm (0.1264, 0.4501, 0.7738)  1 Se 2.84, 5 Br 2.93-3.07
Pm (0.2262, 0.8736, 0.5499)  1 Se 2.84, 5 Br 2.93-3.07
Pm (0.4501, 0.7738, 0.1264)  1 Se 2.84, 5 Br 2.93-3.07
Pm (0.5499, 0.2262, 0.8736)  1 Se 2.84, 5 Br 2.93-3.07
Pm (0.7738, 0.1264, 0.4501)  1 Se 2.84, 5 Br 2.93-3.07
Pm (0.8736, 0.5499, 0.2262)  1 Se 2.84, 5 Br 2.93-3.07
Se (0.5000, 0.5000, 0.5000)  6 Pm 2.84
Br (0.0576, 0.7289, 0.3933)  3 Pm 3.00-3.07
Br (0.1667, 0.1667, 0.1667)  6 Pm 2.93
Br (0.2711, 0.6067, 0.9424)  3 Pm 3.00-3.07
Br (0.3933, 0.0576, 0.7289)  3 Pm 3.00-3.07
Br (0.6067, 0.9424, 0.2711)  3 Pm 3.00-3.07
Br (0.7289, 0.3933, 0.0576)  3 Pm 3.00-3.07
Br (0.8333, 0.8333, 0.8333)  6 Pm 2.93
Br (0.9424, 0.2711, 0.6067)  3 Pm 3.00-3.07

***

Entry 3:
Material: Pm2SeBr
Method: DFT, PBE-GGA
State: optimized geometry

DOS(E_F): 0.858 states/eV/atom
volume: 97.1 Å³/cell
size of the total moment: 0.000 μB per atom
energy relative to the elements, uncorrected: -1.34 eV per atom

Cell lengths 5.1593, 5.1593, 5.1593 Å; angles 60.00, 60.00, 60.00 degrees
Closest atoms and distances in Å follow each position.
Positions (direct):
Pm (0.2500, 0.2500, 0.2500)  4 Se 3.16, 4 Br 3.16
Pm (0.7500, 0.7500, 0.7500)  4 Se 3.16, 4 Br 3.16
Se (0.0000, 0.0000, 0.0000)  8 Pm 3.16
Br (0.5000, 0.5000, 0.5000)  8 Pm 3.16

***

Entry 4:
Material: Pm2SeBr
Method: DFT, PBE-GGA
State: optimized geometry

DOS(E_F): 0.636 states/eV/atom
volume: 97.2 Å³/cell
size of the total moment: 0.000 μB per atom
energy relative to the elements, uncorrected: -1.32 eV per atom

Cell lengths 5.1478, 5.1478, 3.6678 Å; angles 90.00, 90.00, 90.00 degrees
Closest atoms and distances in Å follow each position.
Positions (direct):
Pm (0.0000, 0.5000, 0.0000)  4 Se 3.16, 4 Br 3.16
Pm (0.5000, 0.0000, 0.0000)  4 Se 3.16, 4 Br 3.16
Se (0.0000, 0.0000, 0.5000)  8 Pm 3.16
Br (0.5000, 0.5000, 0.5000)  8 Pm 3.16

***

Entry 5:
Material: PmSeBr
Method: DFT, PBE-GGA
State: optimized geometry

DOS(E_F): 0.000 states/eV/atom
volume: 440.5 Å³/cell
size of the total moment: 0.000 μB per atom
energy relative to the elements, uncorrected: -1.87 eV per atom

Cell lengths 8.6849, 8.6849, 5.8395 Å; angles 90.00, 90.00, 90.00 degrees
Closest atoms and distances in Å follow each position.
Positions (direct):
Pm (0.0000, 0.2536, 0.0000)  2 Br 2.90, 4 Se 2.93-2.97
Pm (0.0000, 0.7464, 0.0000)  2 Br 2.90, 4 Se 2.93-2.97
Pm (0.2536, 0.0000, 0.5000)  2 Br 2.90, 4 Se 2.93-2.97
Pm (0.7464, 0.0000, 0.5000)  2 Br 2.90, 4 Se 2.93-2.97
Se (0.0000, 0.2288, 0.5000)  4 Pm 2.93-2.97
Se (0.0000, 0.7712, 0.5000)  4 Pm 2.93-2.97
Se (0.2288, 0.0000, 0.0000)  4 Pm 2.93-2.97
Se (0.7712, 0.0000, 0.0000)  4 Pm 2.93-2.97
Br (0.2260, 0.5000, 0.0000)  2 Pm 2.90
Br (0.5000, 0.2260, 0.5000)  2 Pm 2.90
Br (0.5000, 0.7740, 0.5000)  2 Pm 2.90
Br (0.7740, 0.5000, 0.0000)  2 Pm 2.90

***

Entry 6:
Material: Pm2SeBr
Method: DFT, PBE-GGA
State: optimized geometry

DOS(E_F): 0.333 states/eV/atom
volume: 110.7 Å³/cell
size of the total moment: 0.000 μB per atom
energy relative to the elements, uncorrected: -1.44 eV per atom

Cell lengths 8.0775, 8.0775, 8.0775 Å; angles 29.17, 29.17, 29.17 degrees
Closest atoms and distances in Å follow each position.
Positions (direct):
Pm (0.2365, 0.2365, 0.2365)  3 Se 2.85
Pm (0.7635, 0.7635, 0.7635)  3 Se 2.85
Se (0.5000, 0.5000, 0.5000)  6 Pm 2.85
Br (0.0000, 0.0000, 0.0000)  6 Pm 3.25

***

Entry 7:
Material: PmSeBr3
Method: DFT, PBE-GGA
State: optimized geometry

volume: 843.7 Å³/cell
size of the total moment: 0.000 μB per atom
energy relative to the elements, uncorrected: -1.31 eV per atom

Cell lengths 7.0691, 8.4975, 14.6760 Å; angles 90.00, 106.85, 90.00 degrees
Closest atoms and distances in Å follow each position.
Positions (direct):
Pm (0.0968, 0.1595, 0.1179)  4 Br 2.71-2.96
Pm (0.0968, 0.8405, 0.6179)  4 Br 2.71-2.96
Pm (0.9032, 0.1595, 0.3821)  4 Br 2.71-2.96
Pm (0.9032, 0.8405, 0.8821)  4 Br 2.71-2.96
Se (0.1586, 0.3816, 0.2978)  1 Se 2.27
Se (0.1586, 0.6184, 0.7978)  1 Se 2.27
Se (0.8414, 0.3816, 0.2022)  1 Se 2.27
Se (0.8414, 0.6184, 0.7022)  1 Se 2.27
Br (0.2001, 0.1472, 0.5647)  2 Pm 2.88-2.89
Br (0.2001, 0.8528, 0.0647)  2 Pm 2.88-2.89
Br (0.2613, 0.0421, 0.3151)  2 Pm 2.96-3.13, 1 Se 2.97
Br (0.2613, 0.9579, 0.8151)  2 Pm 2.96-3.13, 1 Se 2.97
Br (0.3318, 0.3668, 0.0609)  1 Pm 2.71
Br (0.3318, 0.6332, 0.5609)  1 Pm 2.71
Br (0.6682, 0.3668, 0.4391)  1 Pm 2.71
Br (0.6682, 0.6332, 0.9391)  1 Pm 2.71
Br (0.7387, 0.0421, 0.1849)  2 Pm 2.96-3.13, 1 Se 2.97
Br (0.7387, 0.9579, 0.6849)  2 Pm 2.96-3.13, 1 Se 2.97
Br (0.7999, 0.1472, 0.9353)  2 Pm 2.88-2.89
Br (0.7999, 0.8528, 0.4353)  2 Pm 2.88-2.89

***

Entry 8:
Material: Pm3Se3Br
Method: DFT, PBE-GGA
State: optimized geometry

DOS(E_F): 0.321 states/eV/atom
volume: 401.2 Å³/cell
size of the total moment: 0.000 μB per atom
energy relative to the elements, uncorrected: -1.74 eV per atom

Cell lengths 7.7953, 7.7953, 7.7953 Å; angles 69.47, 69.47, 69.47 degrees
Closest atoms and distances in Å follow each position.
Positions (direct):
Pm (0.0832, 0.4377, 0.7190)  5 Se 2.92-3.06, 2 Br 3.16-3.20
Pm (0.2810, 0.9168, 0.5623)  5 Se 2.92-3.06, 2 Br 3.16-3.20
Pm (0.4377, 0.7190, 0.0832)  5 Se 2.92-3.06, 2 Br 3.16-3.20
Pm (0.5623, 0.2810, 0.9168)  5 Se 2.92-3.06, 2 Br 3.16-3.20
Pm (0.7190, 0.0832, 0.4377)  5 Se 2.92-3.06, 2 Br 3.16-3.20
Pm (0.9168, 0.5623, 0.2810)  5 Se 2.92-3.06, 2 Br 3.16-3.20
Se (0.0900, 0.7894, 0.3835)  5 Pm 2.92-3.06
Se (0.2106, 0.6165, 0.9100)  5 Pm 2.92-3.06
Se (0.3835, 0.0900, 0.7894)  5 Pm 2.92-3.06
Se (0.6165, 0.9100, 0.2106)  5 Pm 2.92-3.06
Se (0.7894, 0.3835, 0.0900)  5 Pm 2.92-3.06
Se (0.9100, 0.2106, 0.6165)  5 Pm 2.92-3.06
Br (0.3283, 0.3283, 0.3283)  6 Pm 3.16-3.20, 6 Se 3.47-3.52
Br (0.6717, 0.6717, 0.6717)  6 Pm 3.16-3.20, 6 Se 3.47-3.52

***

Entry 9:
Material: Pm7SeBr12
Method: DFT, PBE-GGA
State: optimized geometry

DOS(E_F): 0.167 states/eV/atom
volume: 660.5 Å³/cell
size of the total moment: 0.000 μB per atom
energy relative to the elements, uncorrected: -1.72 eV per atom

Cell lengths 9.3408, 9.3408, 9.3408 Å; angles 107.94, 107.94, 107.94 degrees
Closest atoms and distances in Å follow each position.
Positions (direct):
Pm (0.0000, 0.0000, 0.0000)  6 Br 2.96
Pm (0.1737, 0.3851, 0.4598)  1 Se 2.76, 5 Br 2.97-3.09
Pm (0.3851, 0.4598, 0.1737)  1 Se 2.76, 5 Br 2.97-3.09
Pm (0.4598, 0.1737, 0.3851)  1 Se 2.76, 5 Br 2.97-3.09
Pm (0.5402, 0.8263, 0.6149)  1 Se 2.76, 5 Br 2.97-3.09
Pm (0.6149, 0.5402, 0.8263)  1 Se 2.76, 5 Br 2.97-3.09
Pm (0.8263, 0.6149, 0.5402)  1 Se 2.76, 5 Br 2.97-3.09
Se (0.5000, 0.5000, 0.5000)  6 Pm 2.76
Br (0.0236, 0.3425, 0.1069)  3 Pm 2.96-3.00
Br (0.1069, 0.0236, 0.3425)  3 Pm 2.96-3.00
Br (0.1879, 0.7248, 0.5758)  3 Pm 2.97-3.09
Br (0.2752, 0.4242, 0.8121)  3 Pm 2.97-3.09
Br (0.3425, 0.1069, 0.0236)  3 Pm 2.96-3.00
Br (0.4242, 0.8121, 0.2752)  3 Pm 2.97-3.09
Br (0.5758, 0.1879, 0.7248)  3 Pm 2.97-3.09
Br (0.6575, 0.8931, 0.9764)  3 Pm 2.96-3.00
Br (0.7248, 0.5758, 0.1879)  3 Pm 2.97-3.09
Br (0.8121, 0.2752, 0.4242)  3 Pm 2.97-3.09
Br (0.8931, 0.9764, 0.6575)  3 Pm 2.96-3.00
Br (0.9764, 0.6575, 0.8931)  3 Pm 2.96-3.00

***

Entry 10:
Material: Pm4Se5Br
Method: DFT, PBE-GGA
State: optimized geometry

DOS(E_F): 0.027 states/eV/atom
volume: 653.9 Å³/cell
size of the total moment: 0.101 μB per atom
energy relative to the elements, uncorrected: -1.65 eV per atom

Cell lengths 8.8832, 10.1765, 7.2333 Å; angles 90.00, 90.00, 90.00 degrees
Closest atoms and distances in Å follow each position.
Positions (direct):
Pm (0.0303, 0.2500, 0.0353)  3 Se 2.87-2.89, 1 Br 3.06
Pm (0.2500, 0.0084, 0.5116)  5 Se 2.80-2.96, 1 Br 3.03
Pm (0.2500, 0.4916, 0.5116)  5 Se 2.80-2.96, 1 Br 3.03
Pm (0.4697, 0.2500, 0.0353)  3 Se 2.87-2.89, 1 Br 3.06
Pm (0.5303, 0.7500, 0.9647)  3 Se 2.87-2.89, 1 Br 3.06
Pm (0.7500, 0.5084, 0.4884)  5 Se 2.80-2.96, 1 Br 3.03
Pm (0.7500, 0.9916, 0.4884)  5 Se 2.80-2.96, 1 Br 3.03
Pm (0.9697, 0.7500, 0.9647)  3 Se 2.87-2.89, 1 Br 3.06
Se (0.0086, 0.5487, 0.2418)  3 Pm 2.89-2.96
Se (0.0086, 0.9513, 0.2418)  3 Pm 2.89-2.96
Se (0.2500, 0.2500, 0.3256)  4 Pm 2.80-2.87
Se (0.4914, 0.5487, 0.2418)  3 Pm 2.89-2.96
Se (0.4914, 0.9513, 0.2418)  3 Pm 2.89-2.96
Se (0.5086, 0.0487, 0.7582)  3 Pm 2.89-2.96
Se (0.5086, 0.4513, 0.7582)  3 Pm 2.89-2.96
Se (0.7500, 0.7500, 0.6744)  4 Pm 2.80-2.87
Se (0.9914, 0.0487, 0.7582)  3 Pm 2.89-2.96
Se (0.9914, 0.4513, 0.7582)  3 Pm 2.89-2.96
Br (0.2500, 0.7500, 0.7185)  4 Pm 3.03-3.06
Br (0.7500, 0.2500, 0.2815)  4 Pm 3.03-3.06

***

Entry 11:
Material: PmSe2Br8
Method: DFT, PBE-GGA
State: optimized geometry

DOS(E_F): 0.619 states/eV/atom
volume: 435.8 Å³/cell
size of the total moment: 0.091 μB per atom
energy relative to the elements, uncorrected: -0.60 eV per atom

Cell lengths 8.3010, 8.3010, 7.7224 Å; angles 108.42, 108.42, 61.74 degrees
Closest atoms and distances in Å follow each position.
Positions (direct):
Pm (0.0000, 0.0000, 0.0000)  6 Br 2.82-3.06
Se (0.1510, 0.1510, 0.5610)  2 Br 2.31-2.45
Se (0.8490, 0.8490, 0.4390)  2 Br 2.31-2.45
Br (0.1747, 0.7239, 0.2193)  1 Pm 2.82
Br (0.2116, 0.2116, 0.3023)  1 Se 2.45
Br (0.2761, 0.8253, 0.7807)  1 Pm 2.82
Br (0.3050, 0.3050, 0.8052)  1 Se 2.31
Br (0.6950, 0.6950, 0.1948)  1 Se 2.31
Br (0.7239, 0.1747, 0.2193)  1 Pm 2.82
Br (0.7884, 0.7884, 0.6977)  1 Se 2.45
Br (0.8253, 0.2761, 0.7807)  1 Pm 2.82

***

Entry 12:
Material: Pm2SeBr3
Method: DFT, PBE-GGA
State: optimized geometry

DOS(E_F): 0.292 states/eV/atom
volume: 394.1 Å³/cell
size of the total moment: 0.140 μB per atom
energy relative to the elements, uncorrected: -1.74 eV per atom

Cell lengths 9.0720, 9.0720, 12.7532 Å; angles 123.45, 123.45, 27.12 degrees
Closest atoms and distances in Å follow each position.
Positions (direct):
Pm (0.1047, 0.1047, 0.4504)  2 Se 2.91-2.93, 5 Br 2.98-3.23
Pm (0.3485, 0.3485, 0.1379)  2 Se 2.94, 4 Br 2.97-3.02
Pm (0.6515, 0.6515, 0.8621)  2 Se 2.94, 4 Br 2.97-3.02
Pm (0.8953, 0.8953, 0.5496)  2 Se 2.91-2.93, 5 Br 2.98-3.23
Se (0.0937, 0.0937, 0.6712)  4 Pm 2.91-2.94
Se (0.9063, 0.9063, 0.3288)  4 Pm 2.91-2.94
Br (0.1476, 0.1476, 0.0251)  3 Pm 2.97-3.00
Br (0.2591, 0.2591, 0.3897)  3 Pm 2.98-3.23
Br (0.4476, 0.4476, 0.7461)  3 Pm 3.01-3.02
Br (0.5524, 0.5524, 0.2539)  3 Pm 3.01-3.02
Br (0.7409, 0.7409, 0.6103)  3 Pm 2.98-3.23
Br (0.8524, 0.8524, 0.9749)  3 Pm 2.97-3.00